[1]
A relaxed PmPr2SbN4 crystal. Source: the Alexandria database, functional PBE.

The structure in POSCAR format:
```
PmPr2SbN4
1.0
-3.076 1.252 1.604
-0.350 -6.323 0.022
5.711 -0.277 11.170
N Pr Pm Sb
8 4 2 2
Direct
0.442 0.883 0.750
0.000 0.000 0.000
0.000 0.000 0.500
0.278 0.556 0.136
0.722 0.444 0.864
0.278 0.556 0.364
0.722 0.444 0.636
0.558 0.117 0.250
0.630 0.260 0.464
0.370 0.740 0.536
0.370 0.740 0.964
0.630 0.260 0.036
0.115 0.230 0.750
0.885 0.770 0.250
0.849 0.698 0.750
0.151 0.302 0.250
```

final energy: -7.06 eV/atom
formation energy without anion corrections: -0.589 eV per atom
space-group type: No. 63

=====

[2]
A relaxed TaBr crystal. Source: the Alexandria database, functional PBE.

The structure in POSCAR format:
```
TaBr
1.0
3.410 0.000 0.000
0.000 6.460 0.000
0.000 0.000 13.125
Br Ta
6 6
Direct
0.500 0.245 0.251
0.500 0.245 0.749
0.000 0.755 0.249
0.500 0.585 0.500
0.000 0.415 0.000
0.000 0.755 0.751
0.000 0.051 0.895
0.500 0.808 0.000
0.500 0.949 0.395
0.000 0.192 0.500
0.000 0.051 0.105
0.500 0.949 0.605
```

final energy: -6.85 eV/atom
formation energy without anion corrections: -0.085 eV per atom
space-group type: No. 59